# 1
Zr2AlGa after structural relaxation. Source: Alexandria via LeMat-Bulk, functional PBE.

POSCAR file:
```
Zr2AlGa
1.0
-3.7739 3.7739 2.9063
3.7739 -3.7739 2.9063
3.7739 3.7739 -2.9063
Zr Al Ga
4 2 2
Direct
0.1180 0.6250 0.9930
0.3750 0.3680 0.4930
0.6320 0.1250 0.0070
0.8750 0.8820 0.5070
0.2500 0.7500 0.5000
0.5000 0.5000 0.0000
0.0000 0.0000 0.0000
0.7500 0.2500 0.5000
```

## Properties
Symmetry: I-42d, No. 122
ΔH_f (0 K), eV/atom: -0.132

---

# 2
Zr7Al2Ga2 after structural relaxation. Source: Alexandria via LeMat-Bulk, functional PBE.

POSCAR file:
```
Zr7Al2Ga2
1.0
3.5853 -5.0231 0.0000
3.5853 5.0231 0.0000
0.0000 0.0000 6.8458
Zr Al Ga
7 2 2
Direct
0.0000 0.0000 0.0000
0.0000 0.5000 0.2865
0.0000 0.5000 0.7135
0.5000 0.0000 0.2865
0.5000 0.0000 0.7135
0.5000 0.5000 0.2668
0.5000 0.5000 0.7332
0.1730 0.1730 0.5000
0.8270 0.8270 0.5000
0.2906 0.7094 0.0000
0.7094 0.2906 0.0000
```

## Properties
Symmetry: Cmmm, No. 65
ΔH_f (0 K), eV/atom: -0.009

---

# 3
Zr3AlGa2 after structural relaxation. Source: Alexandria via LeMat-Bulk, functional PBE.

POSCAR file:
```
Zr3AlGa2
1.0
11.0749 0.0000 0.0000
0.0000 4.1744 0.0000
0.0000 0.0000 10.1307
Zr Al Ga
12 4 8
Direct
0.0353 0.2500 0.1238
0.1423 0.7500 0.5952
0.2076 0.2500 0.8210
0.2924 0.7500 0.3210
0.3577 0.2500 0.0952
0.4647 0.7500 0.6238
0.5353 0.2500 0.3762
0.6423 0.7500 0.9048
0.7076 0.2500 0.6790
0.7924 0.7500 0.1790
0.8577 0.2500 0.4048
0.9647 0.7500 0.8762
0.1271 0.2500 0.3934
0.3729 0.7500 0.8934
0.6271 0.2500 0.1066
0.8729 0.7500 0.6066
0.0144 0.7500 0.3202
0.1823 0.7500 0.0355
0.3177 0.2500 0.5355
0.4856 0.2500 0.8202
0.5144 0.7500 0.1798
0.6823 0.7500 0.4645
0.8177 0.2500 0.9645
0.9856 0.2500 0.6798
```

## Properties
Symmetry: Pnma, No. 62
ΔH_f (0 K), eV/atom: -0.510
Energy above the most stable polymorph in this dataset, meV per atom: 0

---

# 4
Zr2AlGa2 after structural relaxation. Source: Alexandria via LeMat-Bulk, functional PBE.

POSCAR file:
```
Zr2AlGa2
1.0
7.7632 0.0000 0.0000
0.0000 7.7632 0.0000
0.0000 0.0000 3.3841
Zr Al Ga
4 2 4
Direct
0.1379 0.3621 0.0000
0.3621 0.8621 0.0000
0.6379 0.1379 0.0000
0.8621 0.6379 0.0000
0.0000 0.0000 0.0000
0.5000 0.5000 0.0000
0.1677 0.6677 0.5000
0.3323 0.1677 0.5000
0.6677 0.8323 0.5000
0.8323 0.3323 0.5000
```

## Properties
Symmetry: P4/mbm, No. 127
ΔH_f (0 K), eV/atom: -0.154
Energy above the most stable polymorph in this dataset, meV per atom: 431

---

# 5
Zr2AlGa after structural relaxation. Source: Alexandria via LeMat-Bulk, functional PBE.

POSCAR file:
```
Zr2AlGa
1.0
3.0640 0.0000 0.0000
0.0000 3.0640 0.0000
0.0000 0.0000 8.1634
Zr Al Ga
2 1 1
Direct
0.0000 0.0000 0.2464
0.0000 0.0000 0.7536
0.5000 0.5000 0.5000
0.5000 0.5000 0.0000
```

## Properties
Symmetry: P4/mmm, No. 123
ΔH_f (0 K), eV/atom: -0.480

---

# 6
Zr2AlGa5 after structural relaxation. Source: Alexandria via LeMat-Bulk, functional PBE.

POSCAR file:
```
Zr2AlGa5
1.0
5.8082 0.0000 0.0000
0.0000 11.5999 0.0000
0.0000 0.0000 4.1450
Zr Al Ga
4 2 10
Direct
0.2420 0.1269 0.0000
0.2580 0.6269 0.0000
0.7420 0.3731 0.0000
0.7580 0.8731 0.0000
0.0000 0.5000 0.5000
0.5000 0.0000 0.5000
0.0000 0.0000 0.5000
0.0051 0.7483 0.5000
0.2427 0.3775 0.0000
0.2573 0.8775 0.0000
0.4949 0.2483 0.5000
0.5000 0.5000 0.5000
0.5051 0.7517 0.5000
0.7427 0.1225 0.0000
0.7573 0.6225 0.0000
0.9949 0.2517 0.5000
```

## Properties
Symmetry: Pbam, No. 55
ΔH_f (0 K), eV/atom: -0.457

---

# 7
Zr2AlGa after structural relaxation. Source: Alexandria via LeMat-Bulk, functional PBE.

POSCAR file:
```
Zr2AlGa
1.0
5.5449 0.0000 0.0000
0.0000 3.8817 0.0000
-2.7144 0.0000 7.3820
Zr Al Ga
4 2 2
Direct
0.2110 0.2500 0.4248
0.2791 0.7500 0.0704
0.7209 0.2500 0.9296
0.7890 0.7500 0.5752
0.3706 0.7500 0.7106
0.6294 0.2500 0.2894
0.1324 0.2500 0.7913
0.8676 0.7500 0.2087
```

## Properties
Symmetry: P2_1/m, No. 11
ΔH_f (0 K), eV/atom: -0.535

---

# 8
Zr2Al3Ga2 after structural relaxation. Source: Alexandria via LeMat-Bulk, functional PBE.

POSCAR file:
```
Zr2Al3Ga2
1.0
6.6459 0.0000 0.0000
0.0000 9.3064 0.0000
0.0000 0.0000 4.0447
Zr Al Ga
4 6 4
Direct
0.1103 0.1679 0.0000
0.3897 0.6679 0.0000
0.6103 0.3321 0.0000
0.8897 0.8321 0.0000
0.0000 0.5000 0.0000
0.1899 0.9363 0.5000
0.3101 0.4363 0.5000
0.5000 0.0000 0.0000
0.6899 0.5637 0.5000
0.8101 0.0637 0.5000
0.0838 0.6723 0.5000
0.4162 0.1723 0.5000
0.5838 0.8277 0.5000
0.9162 0.3277 0.5000
```

## Properties
Symmetry: Pbam, No. 55
ΔH_f (0 K), eV/atom: -0.390

---

# 9
Zr2Al3Ga3 after structural relaxation. Source: Alexandria via LeMat-Bulk, functional PBE.

POSCAR file:
```
Zr2Al3Ga3
1.0
4.0760 0.0000 0.0000
0.0000 4.1104 0.0000
0.0000 0.0000 8.2922
Zr Al Ga
2 3 3
Direct
0.0000 0.0000 0.2473
0.0000 0.0000 0.7527
0.0000 0.5000 0.0000
0.0000 0.5000 0.5000
0.5000 0.0000 0.5000
0.5000 0.0000 0.0000
0.5000 0.5000 0.2566
0.5000 0.5000 0.7434
```

## Properties
Symmetry: Pmmm, No. 47
ΔH_f (0 K), eV/atom: -0.460

---

# 10
ZrAl3Ga after structural relaxation. Source: Alexandria via LeMat-Bulk, functional PBE.

POSCAR file:
```
ZrAl3Ga
1.0
9.6043 0.0000 0.0000
0.0000 5.6089 0.0000
0.0000 0.0000 6.9976
Zr Al Ga
4 12 4
Direct
0.0680 0.2500 0.1616
0.4320 0.7500 0.6616
0.5680 0.2500 0.3384
0.9320 0.7500 0.8384
0.0889 0.7500 0.1810
0.2010 0.5009 0.8507
0.2010 0.9991 0.8507
0.2990 0.0009 0.3507
0.2990 0.4991 0.3507
0.4111 0.2500 0.6810
0.5889 0.7500 0.3190
0.7010 0.5009 0.6493
0.7010 0.9991 0.6493
0.7990 0.0009 0.1493
0.7990 0.4991 0.1493
0.9111 0.2500 0.8190
0.0000 0.0000 0.5000
0.0000 0.5000 0.5000
0.5000 0.0000 0.0000
0.5000 0.5000 0.0000
```

## Properties
Symmetry: Pnma, No. 62
ΔH_f (0 K), eV/atom: -0.269
Energy above the most stable polymorph in this dataset, meV per atom: 0

---

# 11
Zr4AlGa3 after structural relaxation. Source: Alexandria via LeMat-Bulk, functional PBE.

POSCAR file:
```
Zr4AlGa3
1.0
3.8695 0.0000 0.0000
0.0000 3.9433 0.0000
0.0000 0.0000 10.3167
Zr Al Ga
4 1 3
Direct
0.0000 0.0000 0.0000
0.0000 0.5000 0.4982
0.5000 0.0000 0.2865
0.5000 0.5000 0.7881
0.5000 0.0000 0.5648
0.0000 0.0000 0.7249
0.0000 0.5000 0.2233
0.5000 0.5000 0.0620
```

## Properties
Symmetry: Pmm2, No. 25
ΔH_f (0 K), eV/atom: -0.583

---

# 12
Zr2AlGa after structural relaxation. Source: Alexandria via LeMat-Bulk, functional PBE.

POSCAR file:
```
Zr2AlGa
1.0
1.5594 0.9003 9.5778
-1.5594 0.9003 9.5778
0.0000 -1.8007 9.5778
Zr Al Ga
2 1 1
Direct
0.2490 0.2490 0.2490
0.7510 0.7510 0.7510
0.0000 0.0000 0.0000
0.5000 0.5000 0.5000
```

## Properties
Symmetry: R-3m, No. 166
ΔH_f (0 K), eV/atom: -0.246